# KBa5

A geometry-optimized KBa5 structure (GGA-PBEsol, the Alexandria database).

## Properties
offset from the most stable computed form	0.000	eV/atom
volume	60.5	Å³/atom
SG	Cm (8)
calculated density	3.32	g/cm³
ΔE_f	66	meV per atom

Cell lengths 8.477, 8.477, 10.578 Å; angles 104.64, 104.64, 29.65 degrees
Atoms (fractional coordinates):
K: 0.000 0.000 0.000
Ba: 0.273 0.273 0.050
Ba: 0.333 0.333 0.668
Ba: 0.608 0.608 0.709
Ba: 0.666 0.666 0.338
Ba: 0.937 0.937 0.385